# SmTm2Tl, relaxed, DFT PBE
# Volume = 29.8 Å³/atom
# Magnetization = 0.00 μB/atom
# VASP energy = -4.117 eV/atom
# Formation enthalpy at 0 K = -0.44 eV/f.u.
# ΔE to the lowest computed polymorph = 62 meV per atom
data_SmTm2Tl
_cell_length_a 3.5426
_cell_length_b 3.5426
_cell_length_c 32.9266
_cell_angle_alpha 90.00
_cell_angle_beta 90.00
_cell_angle_gamma 120.00
_symmetry_space_group_name_H-M 'R -3 m'
_symmetry_Int_Tables_number 166
_symmetry_space_group_name_Hall '-R 3 2"'
loop_
_atom_site_label
_atom_site_type_symbol
_atom_site_fract_x
_atom_site_fract_y
_atom_site_fract_z
_atom_site_occupancy
Sm1 Sm 0.0000 0.0000 0.0000 1
Tm1 Tm 0.0000 0.0000 0.2457 1
Tl1 Tl 0.0000 0.0000 0.5000 1